No. 1
A relaxed structure of AcPmH2, computed with PBE.

Calculated values
**Space group**: R3m, No. 160
**Relative energy among the computed polymorphs**: 64 meV per atom
**ρ**: 7.282 Mg/m³

a b c (Å): 3.886 3.886 6.895
angles (deg): 73.63 73.63 60.00
Atoms (fractional coordinates):
Ac  0.468  0.468  0.596
Pm  0.652  0.652  0.043
H  0.045  0.045  0.866
H  0.335  0.335  0.995


No. 2
A relaxed structure of Zr2SbPb, computed with PBE.

Calculated values
**Space group**: R3m, No. 160
**Relative energy among the computed polymorphs**: 74 meV per atom
**ρ**: 8.204 Mg/m³
**Raw formation energy**: -270 meV per atom

a b c (Å): 4.040 4.040 7.685
angles (deg): 74.76 74.76 60.00
Atoms (fractional coordinates):
Zr  0.077  0.077  0.768
Zr  0.256  0.256  0.232
Sb  0.668  0.668  0.996
Pb  0.499  0.499  0.503


No. 3
A relaxed structure of Pr4ZnS3, computed with PBE.

Calculated values
**Space group**: I4/mmm, No. 139
**ρ**: 5.925 Mg/m³
**Raw formation energy**: -1589 meV per atom

a b c (Å): 5.883 5.883 7.197
angles (deg): 114.13 114.13 90.00
Atoms (fractional coordinates):
Pr  0.000  0.500  0.000
Pr  0.500  0.000  0.000
Pr  0.257  0.257  0.515
Pr  0.743  0.743  0.485
Zn  0.000  0.000  0.000
S  0.500  0.500  0.000
S  0.750  0.250  0.500
S  0.250  0.750  0.500


No. 4
A relaxed structure of CoCuSn2, computed with PBE.

Calculated values
**Space group**: I-42d, No. 122
**Relative energy among the computed polymorphs**: 118 meV per atom
**ΔH_f (0 K)**: 0.357 eV/atom
**ρ**: 7.453 Mg/m³

a b c (Å): 4.360 4.360 8.982
angles (deg): 75.95 75.95 90.00
Each line ends with the local moment (μB).
Atoms (fractional coordinates):
Co  0.500  0.500  0.000  0.99
Co  0.250  0.750  0.500  0.99
Sn  0.619  0.125  0.250  -0.03
Sn  0.131  0.625  0.250  -0.03
Sn  0.375  0.381  0.750  -0.03
Sn  0.875  0.869  0.750  -0.03
Cu  0.000  0.000  0.000  0.01
Cu  0.750  0.250  0.500  0.01


No. 5
A relaxed structure of TbCeAgRu, computed with PBE.

Calculated values
**Space group**: F-43m, No. 216
**ΔH_f (0 K)**: -0.221 eV/atom
**ρ**: 9.419 Mg/m³

a b c (Å): 5.022 5.022 5.022
angles (deg): 60.00 60.00 60.00
Each line ends with the local moment (μB).
Atoms (fractional coordinates):
Ru  0.750  0.750  0.750  -0.04
Tb  0.000  0.000  0.000  0.03
Ag  0.250  0.250  0.250  0.01
Ce  0.500  0.500  0.500  0.44


No. 6
A relaxed structure of BaTe2Os, computed with PBE.

Calculated values
**Space group**: I-4m2, No. 119
**Relative energy among the computed polymorphs**: 982 meV per atom
**ρ**: 8.655 Mg/m³
**Raw formation energy**: 540 meV per atom

a b c (Å): 6.213 6.213 6.213
angles (deg): 136.60 136.60 63.06
Each line ends with the local moment (μB).
Atoms (fractional coordinates):
Ba  0.500  0.500  0.000  0.02
Os  0.750  0.250  0.500  1.60
Te  0.000  0.000  0.000  0.06
Te  0.250  0.750  0.500  0.00


No. 7
A relaxed structure of La3Pr2Er6, computed with PBE.

Calculated values
**Space group**: C2/m, No. 12
**ΔH_f (0 K)**: 0.185 eV/atom
**ρ**: 7.349 Mg/m³

a b c (Å): 6.199 6.208 11.720
angles (deg): 84.92 79.77 60.05
Atoms (fractional coordinates):
La  0.000  0.000  0.000
La  0.336  0.328  0.000
La  0.664  0.672  0.000
Pr  0.166  0.667  0.500
Pr  0.834  0.333  0.500
Er  0.417  0.668  0.748
Er  0.749  0.000  0.749
Er  0.085  0.332  0.748
Er  0.251  0.000  0.251
Er  0.583  0.332  0.252
Er  0.915  0.668  0.252


No. 8
A relaxed structure of AcGa4Tc, computed with PBE.

Calculated values
**Space group**: P4/mmm, No. 123
**ΔH_f (0 K)**: -0.042 eV/atom
**ρ**: 6.172 Mg/m³

a b c (Å): 4.777 4.777 7.121
angles (deg): 90.00 90.00 90.00
Atoms (fractional coordinates):
Ac  0.000  0.000  0.000
Ga  0.500  0.500  0.835
Ga  0.500  0.500  0.165
Ga  0.500  0.000  0.500
Ga  0.000  0.500  0.500
Tc  0.500  0.500  0.500